Entry 1:
DFT (PBE) results for an optimized crystal structure of SrCo2Os.

Values from the calculation:
**Magnetic moment**: 4.331 μB per formula unit
**Density of states at the Fermi level**: 1.571 states/eV per atom
**Energy above the lowest structure with this stoichiometry**: 3.34 eV per formula unit

a = 3.8624 Å, b = 3.8624 Å, c = 9.0259 Å
α = 90.00°, β = 90.00°, γ = 90.00°
Last column: nearest neighbours and their distance in Å.
Space group I-4m2 (No. 119)
Symmetry-distinct sites (fractional):
Sr1 0.0000 0.0000 0.0000 [2 per cell]  8 Co 2.73-2.97, 4 Os 2.97
Co1 0.0000 0.0000 0.5000 [2 per cell]  4 Sr 2.73, 4 Co 2.97, 4 Os 2.97
Co2 0.0000 0.5000 0.7500 [2 per cell]  4 Os 2.73, 4 Co 2.97, 4 Sr 2.97
Os1 0.0000 0.5000 0.2500 [2 per cell]  8 Co 2.73-2.97, 4 Sr 2.97

***

Entry 2:
DFT (PBE) results for an optimized crystal structure of Sr2CoOs.

Values from the calculation:
**Magnetic moment**: 2.058 μB per formula unit
**Density of states at the Fermi level**: 1.600 states/eV per atom
**Energy above the lowest structure with this stoichiometry**: 1.25 eV per formula unit

a = 3.4090 Å, b = 3.4090 Å, c = 8.9466 Å
α = 90.00°, β = 90.00°, γ = 90.00°
Last column: nearest neighbours and their distance in Å.
Space group P4mm (No. 99)
Symmetry-distinct sites (fractional):
Sr1 0.0000 0.0000 0.0000 [1 per cell]  1 Co 2.95, 4 Os 3.30
Sr2 0.5000 0.5000 0.4179 [1 per cell]  1 Os 2.96, 4 Co 3.30
Co1 0.0000 0.0000 0.6702 [1 per cell]  4 Os 2.51
Os1 0.5000 0.5000 0.7485 [1 per cell]  4 Co 2.51

***

Entry 3:
DFT (PBE) results for an optimized crystal structure of SrCo2Os.

Values from the calculation:
**Magnetic moment**: 3.209 μB per formula unit
**Density of states at the Fermi level**: 1.259 states/eV per atom
**Energy above the lowest structure with this stoichiometry**: 1.52 eV per formula unit

a = 3.0312 Å, b = 3.0312 Å, c = 7.3443 Å
α = 90.00°, β = 90.00°, γ = 90.00°
Last column: nearest neighbours and their distance in Å.
Space group P4mm (No. 99)
Symmetry-distinct sites (fractional):
Sr1 0.0000 0.0000 0.0000 [1 per cell]  4 Sr 3.03, 4 Os 3.24, 4 Co 3.24
Co1 0.0000 0.0000 0.4813 [1 per cell]  4 Co 2.41, 4 Os 2.55
Co2 0.5000 0.5000 0.3305 [1 per cell]  4 Co 2.41, 1 Os 2.49
Os1 0.5000 0.5000 0.6698 [1 per cell]  5 Co 2.49-2.55

***

Entry 4:
DFT (PBE) results for an optimized crystal structure of Sr2CoOs.

Values from the calculation:
**Magnetic moment**: 2.391 μB per formula unit
**Density of states at the Fermi level**: 2.163 states/eV per atom
**Energy above the lowest structure with this stoichiometry**: 3.20 eV per formula unit

a = 4.9236 Å, b = 4.9236 Å, c = 3.9781 Å
α = 90.00°, β = 90.00°, γ = 90.00°
Last column: nearest neighbours and their distance in Å.
Space group P4/mmm (No. 123)
Symmetry-distinct sites (fractional):
Sr1 0.0000 0.5000 0.0000 [2 per cell]  4 Co 3.16, 4 Os 3.16, 4 Sr 3.48
Co1 0.0000 0.0000 0.5000 [1 per cell]  8 Sr 3.16, 4 Os 3.48
Os1 0.5000 0.5000 0.5000 [1 per cell]  8 Sr 3.16, 4 Co 3.48

***

Entry 5:
DFT (PBE) results for an optimized crystal structure of Sr2CoOs.

Values from the calculation:
**Magnetic moment**: 1.753 μB per formula unit
**Density of states at the Fermi level**: 1.172 states/eV per atom
**Energy above the lowest structure with this stoichiometry**: 3.02 eV per formula unit

a = 2.9728 Å, b = 4.0711 Å, c = 7.7954 Å
α = 90.00°, β = 90.00°, γ = 90.00°
Last column: nearest neighbours and their distance in Å.
Space group Pmmm (No. 47)
Symmetry-distinct sites (fractional):
Sr1 0.0000 0.0000 0.2445 [2 per cell]  2 Sr 2.97, 4 Os 3.16, 4 Co 3.21
Co1 0.5000 0.5000 0.5000 [1 per cell]  2 Co 2.97, 8 Sr 3.21
Os1 0.5000 0.5000 0.0000 [1 per cell]  2 Os 2.97, 8 Sr 3.16

***

Entry 6:
DFT (PBE) results for an optimized crystal structure of SrCo2Os.

Values from the calculation:
**Magnetic moment**: 4.265 μB per formula unit
**Density of states at the Fermi level**: 0.525 states/eV per atom
**Energy above the lowest structure with this stoichiometry**: 2.37 eV per formula unit

a = 6.4133 Å, b = 6.4133 Å, c = 6.4133 Å
α = 90.00°, β = 90.00°, γ = 90.00°
Last column: nearest neighbours and their distance in Å.
Space group Fm-3m (No. 225)
Symmetry-distinct sites (fractional):
Sr1 0.0000 0.0000 0.0000 [4 per cell]  8 Co 2.78
Co1 0.2500 0.2500 0.2500 [8 per cell]  4 Os 2.78, 4 Sr 2.78
Os1 0.0000 0.0000 0.5000 [4 per cell]  8 Co 2.78

***

Entry 7:
DFT (PBE) results for an optimized crystal structure of SrCo2Os.

Values from the calculation:
**Magnetic moment**: 3.952 μB per formula unit
**Density of states at the Fermi level**: 1.193 states/eV per atom
**Energy above the lowest structure with this stoichiometry**: 2.52 eV per formula unit

a = 3.0028 Å, b = 5.1507 Å, c = 9.4342 Å
α = 90.00°, β = 90.00°, γ = 90.00°
Last column: nearest neighbours and their distance in Å.
Space group Immm (No. 71)
Symmetry-distinct sites (fractional):
Sr1 0.0000 0.0000 0.0000 [2 per cell]  4 Os 2.98, 2 Sr 3.00, 8 Co 3.16-3.22
Co1 0.0000 0.5000 0.2054 [4 per cell]  2 Os 2.45
Os1 0.0000 0.0000 0.5000 [2 per cell]  4 Co 2.45

***

Entry 8:
DFT (PBE) results for an optimized crystal structure of SrCoOs.

Values from the calculation:
**Magnetic moment**: 3.168 μB per formula unit
**Density of states at the Fermi level**: 1.014 states/eV per atom
**Energy above the lowest structure with this stoichiometry**: 2.20 eV per formula unit

a = 6.3383 Å, b = 6.3383 Å, c = 6.3383 Å
α = 90.00°, β = 90.00°, γ = 90.00°
Last column: nearest neighbours and their distance in Å.
Space group F-43m (No. 216)
Symmetry-distinct sites (fractional):
Sr1 0.0000 0.0000 0.0000 [4 per cell]  4 Co 2.74
Co1 0.2500 0.2500 0.2500 [4 per cell]  4 Os 2.74, 4 Sr 2.74
Os1 0.0000 0.0000 0.5000 [4 per cell]  4 Co 2.74

***

Entry 9:
DFT (PBE) results for an optimized crystal structure of SrCo2Os.

Values from the calculation:
**Magnetic moment**: 1.755 μB per formula unit
**Density of states at the Fermi level**: 1.516 states/eV per atom
**Energy above the lowest structure with this stoichiometry**: 1.60 eV per formula unit

a = 4.0324 Å, b = 2.8091 Å, c = 12.1577 Å
α = 90.00°, β = 90.00°, γ = 90.00°
Last column: nearest neighbours and their distance in Å.
Space group Amm2 (No. 38)
Symmetry-distinct sites (fractional):
Sr1 0.0000 0.0000 0.0000 [2 per cell]  2 Sr 2.81, 5 Co 3.00-3.05
Co1 0.0000 0.0000 0.7530 [2 per cell]  2 Co 2.39, 4 Os 2.56
Co2 0.5000 0.0000 0.6481 [2 per cell]  2 Co 2.39, 2 Os 2.44
Os1 0.5000 0.0000 0.3123 [2 per cell]  6 Co 2.44-2.56

***

Entry 10:
DFT (PBE) results for an optimized crystal structure of Sr3CoOs.

Values from the calculation:
**Total DFT energy (no corrections)**: -17.7 eV per cell
**Magnetic moment**: 1.166 μB per formula unit
**Density of states at the Fermi level**: 1.468 states/eV per atom

a = 5.3495 Å, b = 5.3495 Å, c = 5.3495 Å
α = 90.00°, β = 90.00°, γ = 90.00°
Last column: nearest neighbours and their distance in Å.
Space group Pm-3m (No. 221)
Symmetry-distinct sites (fractional):
Sr1 0.0000 0.0000 0.5000 [3 per cell]  2 Co 2.67
Co1 0.0000 0.0000 0.0000 [1 per cell]  6 Sr 2.67
Os1 0.5000 0.5000 0.5000 [1 per cell]  12 Sr 3.78

***

Entry 11:
DFT (PBE) results for an optimized crystal structure of Sr4CoOs.

Values from the calculation:
**Total DFT energy (no corrections)**: -62.0 eV per cell
**Magnetic moment**: 1.504 μB per formula unit
**Density of states at the Fermi level**: 1.378 states/eV per atom

a = 9.0907 Å, b = 9.0907 Å, c = 9.0907 Å
α = 90.00°, β = 90.00°, γ = 90.00°
Last column: nearest neighbours and their distance in Å.
Space group F-43m (No. 216)
Symmetry-distinct sites (fractional):
Sr1 0.1243 0.1243 0.3757 [16 per cell]  6 Sr 3.20-3.23
Co1 0.0000 0.0000 0.0000 [4 per cell]  12 Sr 3.77, 4 Os 3.94
Os1 0.2500 0.2500 0.7500 [4 per cell]  12 Sr 3.77, 4 Co 3.94

***

Entry 12:
DFT (PBE) results for an optimized crystal structure of SrCo2Os.

Values from the calculation:
**Magnetic moment**: 2.817 μB per formula unit
**Density of states at the Fermi level**: 1.210 states/eV per atom
**Energy above the lowest structure with this stoichiometry**: 2.91 eV per formula unit

a = 2.8268 Å, b = 2.8268 Å, c = 27.7090 Å
α = 90.00°, β = 90.00°, γ = 120.00°
Last column: nearest neighbours and their distance in Å.
Space group R-3m (No. 166, hexagonal axes)
Symmetry-distinct sites (fractional):
Sr1 0.0000 0.0000 0.0000 [3 per cell]  6 Sr 2.83, 6 Co 3.11
Co1 0.0000 0.0000 0.2377 [6 per cell]  3 Os 2.56, 6 Co 2.83
Os1 0.0000 0.0000 0.5000 [3 per cell]  6 Co 2.56, 6 Os 2.83

***

Entry 13:
DFT (PBE) results for an optimized crystal structure of SrCo2Os.

Values from the calculation:
**Magnetic moment**: 4.229 μB per formula unit
**Density of states at the Fermi level**: 1.203 states/eV per atom
**Energy above the lowest structure with this stoichiometry**: 3.38 eV per formula unit

a = 3.2170 Å, b = 4.3183 Å, c = 4.8158 Å
α = 90.00°, β = 90.00°, γ = 90.00°
Last column: nearest neighbours and their distance in Å.
Space group Pmmm (No. 47)
Symmetry-distinct sites (fractional):
Sr1 0.0000 0.0000 0.0000 [1 per cell]  4 Co 2.69, 4 Os 2.90
Co1 0.0000 0.5000 0.5000 [1 per cell]  4 Os 2.69, 4 Co 2.90
Co2 0.5000 0.5000 0.0000 [1 per cell]  4 Sr 2.69, 4 Co 2.90
Os1 0.5000 0.0000 0.5000 [1 per cell]  4 Co 2.69, 4 Sr 2.90

***

Entry 14:
DFT (PBE) results for an optimized crystal structure of SrCo2Os.

Values from the calculation:
**Magnetic moment**: 2.144 μB per formula unit
**Density of states at the Fermi level**: 0.882 states/eV per atom
**Energy above the lowest structure with this stoichiometry**: 0.06 eV per formula unit

a = 4.1261 Å, b = 4.1261 Å, c = 16.3597 Å
α = 90.00°, β = 90.00°, γ = 120.00°
Last column: nearest neighbours and their distance in Å.
Space group R3m (No. 160, hexagonal axes)
Symmetry-distinct sites (fractional):
Sr1 0.0000 0.0000 0.0000 [3 per cell]  4 Co 3.04-3.39, 4 Os 3.07-3.37
Co1 0.0000 0.0000 0.1856 [3 per cell]  3 Co 2.40, 3 Os 2.47
Co2 0.0000 0.0000 0.4995 [3 per cell]  3 Co 2.40, 3 Os 2.41
Os1 0.0000 0.0000 0.8123 [3 per cell]  6 Co 2.41-2.47

***

Entry 15:
DFT (PBE) results for an optimized crystal structure of SrCo2Os.

Values from the calculation:
**Magnetic moment**: 0.594 μB per formula unit
**Density of states at the Fermi level**: 1.164 states/eV per atom
**Energy above the lowest structure with this stoichiometry**: 0.00 eV per formula unit

a = 4.1206 Å, b = 4.1206 Å, c = 16.0697 Å
α = 90.00°, β = 90.00°, γ = 120.00°
Last column: nearest neighbours and their distance in Å.
Space group R-3m (No. 166, hexagonal axes)
Symmetry-distinct sites (fractional):
Sr1 0.0000 0.0000 0.0000 [3 per cell]  8 Co 3.01-3.34
Co1 0.0000 0.0000 0.1875 [6 per cell]  3 Os 2.40, 3 Co 2.47
Os1 0.0000 0.0000 0.5000 [3 per cell]  6 Co 2.40

***

Entry 16:
DFT (PBE) results for an optimized crystal structure of SrCoOs.

Values from the calculation:
**Magnetic moment**: 1.615 μB per formula unit
**Density of states at the Fermi level**: 1.426 states/eV per atom
**Energy above the lowest structure with this stoichiometry**: 2.19 eV per formula unit

a = 2.9314 Å, b = 2.9314 Å, c = 7.2370 Å
α = 90.00°, β = 90.00°, γ = 120.00°
Last column: nearest neighbours and their distance in Å.
Space group P3m1 (No. 156)
Symmetry-distinct sites (fractional):
Sr1 0.0000 0.0000 0.0000 [1 per cell]  6 Sr 2.93, 3 Co 3.17, 3 Os 3.19
Co1 0.6667 0.3333 0.3696 [1 per cell]  3 Os 2.51
Os1 0.3333 0.6667 0.6262 [1 per cell]  3 Co 2.51

***

Entry 17:
DFT (PBE) results for an optimized crystal structure of Sr2CoOs.

Values from the calculation:
**Magnetic moment**: 1.231 μB per formula unit
**Density of states at the Fermi level**: 1.465 states/eV per atom
**Energy above the lowest structure with this stoichiometry**: 3.81 eV per formula unit

a = 3.3982 Å, b = 3.3982 Å, c = 28.0159 Å
α = 90.00°, β = 90.00°, γ = 120.00°
Last column: nearest neighbours and their distance in Å.
Space group R-3m (No. 166, hexagonal axes)
Symmetry-distinct sites (fractional):
Sr1 0.0000 0.0000 0.2492 [6 per cell]  3 Os 3.03, 3 Co 3.07
Co1 0.0000 0.0000 0.0000 [3 per cell]  6 Sr 3.07, 6 Co 3.40
Os1 0.0000 0.0000 0.5000 [3 per cell]  6 Sr 3.03

***

Entry 18:
DFT (PBE) results for an optimized crystal structure of SrCoOs.

Values from the calculation:
**Magnetic moment**: 0.000 μB per formula unit
**Density of states at the Fermi level**: 0.923 states/eV per atom
**Energy above the lowest structure with this stoichiometry**: 0.00 eV per formula unit

a = 3.9652 Å, b = 3.9652 Å, c = 4.8455 Å
α = 90.00°, β = 90.00°, γ = 120.00°
Last column: nearest neighbours and their distance in Å.
Space group P-6m2 (No. 187)
Symmetry-distinct sites (fractional):
Sr1 0.0000 0.0000 0.0000 [1 per cell]  6 Co 3.33, 6 Os 3.33
Co1 0.6667 0.3333 0.5000 [1 per cell]  3 Os 2.29
Os1 0.3333 0.6667 0.5000 [1 per cell]  3 Co 2.29

***

Entry 19:
DFT (PBE) results for an optimized crystal structure of SrCoTc2Os.

Values from the calculation:
**Total DFT energy (no corrections)**: -23.0 eV per cell
**Magnetic moment**: 0.001 μB per formula unit
**Density of states at the Fermi level**: 1.664 states/eV per atom

a = 4.6722 Å, b = 4.6722 Å, c = 4.7405 Å
α = 90.00°, β = 90.00°, γ = 90.00°
Last column: nearest neighbours and their distance in Å.
Space group P4/mmm (No. 123)
Symmetry-distinct sites (fractional):
Sr1 0.0000 0.0000 0.0000 [1 per cell]  4 Tc 2.34, 2 Os 2.37
Co1 0.5000 0.5000 0.5000 [1 per cell]  4 Os 3.30, 8 Tc 3.33
Tc1 0.0000 0.5000 0.0000 [2 per cell]  2 Sr 2.34
Os1 0.0000 0.0000 0.5000 [1 per cell]  2 Sr 2.37

***

Entry 20:
DFT (PBE) results for an optimized crystal structure of SrTlCo2Os.

Values from the calculation:
**Total DFT energy (no corrections)**: -19.3 eV per cell
**Magnetic moment**: 5.297 μB per formula unit
**Density of states at the Fermi level**: 1.974 states/eV per atom

a = 4.7945 Å, b = 4.7945 Å, c = 5.8155 Å
α = 90.00°, β = 90.00°, γ = 90.00°
Last column: nearest neighbours and their distance in Å.
Space group P4/mmm (No. 123)
Symmetry-distinct sites (fractional):
Sr1 0.0000 0.0000 0.0000 [1 per cell]  2 Tl 2.91
Tl1 0.0000 0.0000 0.5000 [1 per cell]  4 Co 2.40
Co1 0.0000 0.5000 0.5000 [2 per cell]  2 Tl 2.40
Os1 0.5000 0.5000 0.0000 [1 per cell]  4 Sr 3.39, 8 Co 3.77